## KMnZnF6 (PBE+U)

Data for a geometry-optimized KMnZnF6 structure.

Computed properties:
E   -42.678 eV/cell
ρ   3.19 g cm⁻³
Symmetry   C2, No. 5

Cell: 5.3673 5.3673 5.6913 Å, 90.04 90.04 119.82°
Closest atoms and distances in Å follow each position.
Element x y z (fractional)
K: 0.0000 0.0000 0.0000  6 F 2.68-2.69
Mn: 0.3333 0.6667 0.5000  6 F 1.93-1.95
Zn: 0.6663 0.3337 0.5000  6 F 2.07-2.08
F: 0.0169 0.3849 0.6910  1 Mn 1.95, 1 Zn 2.07
F: 0.0184 0.6345 0.3112  1 Mn 1.94, 1 Zn 2.07
F: 0.3655 0.9816 0.6888  1 Mn 1.94, 1 Zn 2.07
F: 0.3663 0.3878 0.3093  1 Mn 1.93, 1 Zn 2.08
F: 0.6122 0.6337 0.6907  1 Mn 1.93, 1 Zn 2.08
F: 0.6151 0.9831 0.3090  1 Mn 1.95, 1 Zn 2.07